# Y2FeSi GGA-PBE relaxed
data_Y2FeSi
_chemical_formula_sum 'Y4 Fe2 Si2'
_symmetry_space_group_name_H-M 'A m m 2'
_symmetry_Int_Tables_number 38
_symmetry_space_group_name_Hall 'A 2 -2'
_cell_length_a 4.047
_cell_length_b 4.013
_cell_length_c 10.746
_cell_angle_alpha 90.00
_cell_angle_beta 90.00
_cell_angle_gamma 90.00
loop_
_atom_site_label
_atom_site_type_symbol
_atom_site_fract_x
_atom_site_fract_y
_atom_site_fract_z
Y1 Y 0.000 0.000 0.000
Y2 Y 0.500 0.000 0.285
Fe1 Fe 0.500 0.000 0.581
Si1 Si 0.000 0.000 0.706
# DOS at the Fermi energy = 3.46 states/eV/f.u.
# Magnetic moment = 3.49 μB/cell
# DFT total energy = -7.123 eV per atom
# Calculated volume = 174.5 Å³/cell

=====

# Y3FeSi GGA-PBE relaxed
data_Y3FeSi
_chemical_formula_sum 'Y3 Fe1 Si1'
_symmetry_space_group_name_H-M 'P m -3 m'
_symmetry_Int_Tables_number 221
_symmetry_space_group_name_Hall '-P 4 2 3'
_cell_length_a 5.030
_cell_length_b 5.030
_cell_length_c 5.030
_cell_angle_alpha 90.00
_cell_angle_beta 90.00
_cell_angle_gamma 90.00
loop_
_atom_site_label
_atom_site_type_symbol
_atom_site_fract_x
_atom_site_fract_y
_atom_site_fract_z
Y1 Y 0.000 0.000 0.500
Fe1 Fe 0.000 0.000 0.000
Si1 Si 0.500 0.500 0.500
# DOS at the Fermi energy = 3.82 states/eV/f.u.
# Magnetic moment = 0.00 μB/cell
# DFT total energy = -6.553 eV per atom
# Calculated volume = 127.3 Å³/cell

=====

# YFe10Si2 GGA-PBE relaxed
data_YFe10Si2
_chemical_formula_sum 'Y4 Fe40 Si8'
_symmetry_space_group_name_H-M 'C m c m'
_symmetry_Int_Tables_number 63
_symmetry_space_group_name_Hall '-C 2c 2'
_cell_length_a 8.321
_cell_length_b 9.572
_cell_length_c 8.195
_cell_angle_alpha 90.00
_cell_angle_beta 90.00
_cell_angle_gamma 90.00
loop_
_atom_site_label
_atom_site_type_symbol
_atom_site_fract_x
_atom_site_fract_y
_atom_site_fract_z
Y1 Y 0.000 0.125 0.250
Fe1 Fe 0.000 0.160 0.602
Fe2 Fe 0.000 0.393 0.075
Fe3 Fe 0.140 0.380 0.750
Fe4 Fe 0.228 0.000 0.000
Fe5 Fe 0.242 0.372 0.250
Si1 Si 0.250 0.250 0.000
# DOS at the Fermi energy = 10.65 states/eV/f.u.
# Magnetic moment = 78.86 μB/cell
# Energy relative to the lowest polymorph listed for this composition = 0.0090 eV/atom
# Calculated volume = 652.8 Å³/cell

=====

# YFe12Si6 GGA-PBE relaxed
data_YFe12Si6
_chemical_formula_sum 'Y3 Fe36 Si18'
_symmetry_space_group_name_H-M 'R -3 m'
_symmetry_Int_Tables_number 166
_symmetry_space_group_name_Hall '-R 3 2"'
_cell_length_a 10.4005
_cell_length_b 10.4005
_cell_length_c 7.9411
_cell_angle_alpha 90.00
_cell_angle_beta 90.00
_cell_angle_gamma 120.00
loop_
_atom_site_label
_atom_site_type_symbol
_atom_site_fract_x
_atom_site_fract_y
_atom_site_fract_z
Y1 Y 0.0000 0.0000 0.0000
Fe1 Fe 0.0000 0.3785 0.5000
Fe2 Fe 0.0892 0.1784 0.3422
Si1 Si 0.0255 0.5128 0.2649
# DOS at the Fermi energy = 19.82 states/eV/f.u.
# Magnetic moment = 61.42 μB/cell
# DFT total energy = -7.637 eV per atom
# Calculated volume = 743.9 Å³/cell

=====

Repeat the fourth record exactly.
# YFe12Si6 GGA-PBE relaxed
data_YFe12Si6
_chemical_formula_sum 'Y3 Fe36 Si18'
_symmetry_space_group_name_H-M 'R -3 m'
_symmetry_Int_Tables_number 166
_symmetry_space_group_name_Hall '-R 3 2"'
_cell_length_a 10.4005
_cell_length_b 10.4005
_cell_length_c 7.9411
_cell_angle_alpha 90.00
_cell_angle_beta 90.00
_cell_angle_gamma 120.00
loop_
_atom_site_label
_atom_site_type_symbol
_atom_site_fract_x
_atom_site_fract_y
_atom_site_fract_z
Y1 Y 0.0000 0.0000 0.0000
Fe1 Fe 0.0000 0.3785 0.5000
Fe2 Fe 0.0892 0.1784 0.3422
Si1 Si 0.0255 0.5128 0.2649
# DOS at the Fermi energy = 19.82 states/eV/f.u.
# Magnetic moment = 61.42 μB/cell
# DFT total energy = -7.637 eV per atom
# Calculated volume = 743.9 Å³/cell